La9Tl2Cd | PBE | relaxed

Calculated values
symmetry = No. 123
magnetization = 0.0000 μB/atom
ΔH_f (0 K) = -0.207 eV per atom

Geometry as POSCAR:
```
La9Tl2Cd
1.0
5.0782 0.0000 0.0000
0.0000 5.0782 0.0000
0.0000 0.0000 15.1789
La Tl Cd
9 2 1
direct
0.0000 0.0000 0.0000 La
0.0000 0.0000 0.3318 La
0.0000 0.0000 0.6682 La
0.0000 0.5000 0.1662 La
0.0000 0.5000 0.5000 La
0.0000 0.5000 0.8338 La
0.5000 0.0000 0.1662 La
0.5000 0.0000 0.5000 La
0.5000 0.0000 0.8338 La
0.5000 0.5000 0.3326 Tl
0.5000 0.5000 0.6674 Tl
0.5000 0.5000 0.0000 Cd
```

K4Tm3PaTe8 | PBE | relaxed

Calculated values
symmetry = No. 166
raw formation energy = -1.239 eV per atom
magnetization = 0.1175 μB/atom

Geometry as POSCAR:
```
K4Tm3PaTe8
1.0
4.4519 2.5703 8.2799
-4.4519 2.5703 8.2799
0.0000 -5.1406 8.2799
K Tm Pa Te
4 3 1 8
direct
0.0000 0.0000 0.0000 K
0.0000 0.5000 0.5000 K
0.5000 0.0000 0.5000 K
0.5000 0.5000 0.0000 K
0.0000 0.0000 0.5000 Tm
0.0000 0.5000 0.0000 Tm
0.5000 0.0000 0.0000 Tm
0.5000 0.5000 0.5000 Pa
0.2318 0.7390 0.7390 Te
0.2352 0.2352 0.2352 Te
0.2610 0.2610 0.7682 Te
0.2610 0.7682 0.2610 Te
0.7390 0.2318 0.7390 Te
0.7390 0.7390 0.2318 Te
0.7648 0.7648 0.7648 Te
0.7682 0.2610 0.2610 Te
```

ReOs2Se | PBE | relaxed

Calculated values
symmetry = No. 12
raw formation energy = 0.924 eV per atom
magnetization = 0.0000 μB/atom

Geometry as POSCAR:
```
ReOs2Se
1.0
2.6796 -4.5188 0.0000
2.6796 4.5188 0.0000
-1.3663 0.0000 2.5336
Re Os Se
1 2 1
direct
0.0000 0.0000 0.0000 Re
0.0000 0.5000 0.5000 Os
0.5000 0.0000 0.5000 Os
0.5000 0.5000 0.0000 Se
```

Sr2Ag3Cl7 | PBE | relaxed

Calculated values
symmetry = No. 36
raw formation energy = -1.431 eV per atom
magnetization = 0.0000 μB/atom

Geometry as POSCAR:
```
Sr2Ag3Cl7
1.0
12.8429 -3.6750 0.0000
12.8429 3.6750 0.0000
0.0000 0.0000 7.1968
Sr Ag Cl
4 6 14
direct
0.1405 0.6504 0.5000 Sr
0.3496 0.8595 0.5000 Sr
0.6504 0.1405 0.0000 Sr
0.8595 0.3496 0.0000 Sr
0.0813 0.5049 0.9605 Ag
0.2458 0.7542 0.0409 Ag
0.4951 0.9187 0.9605 Ag
0.5049 0.0813 0.4605 Ag
0.7542 0.2458 0.5409 Ag
0.9187 0.4951 0.4605 Ag
0.0499 0.2356 0.6589 Cl
0.1138 0.8862 0.3740 Cl
0.1658 0.4167 0.6116 Cl
0.2356 0.0499 0.1589 Cl
0.3332 0.5205 0.8472 Cl
0.4167 0.1658 0.1116 Cl
0.4795 0.6668 0.8472 Cl
0.5205 0.3332 0.3472 Cl
0.5833 0.8342 0.6116 Cl
0.6668 0.4795 0.3472 Cl
0.7644 0.9501 0.6589 Cl
0.8342 0.5833 0.1116 Cl
0.8862 0.1138 0.8740 Cl
0.9501 0.7644 0.1589 Cl
```

AcMg2CdGa4 | PBE | relaxed

Calculated values
symmetry = No. 166
magnetization = 0.0000 μB/atom
ΔH_f (0 K) = -0.232 eV per atom

Geometry as POSCAR:
```
AcMg2CdGa4
1.0
2.4013 1.3864 9.1995
-2.4013 1.3864 9.1995
0.0000 -2.7728 9.1995
Ac Mg Cd Ga
1 2 1 4
direct
0.0000 0.0000 0.0000 Ac
0.2395 0.2395 0.2395 Mg
0.7605 0.7605 0.7605 Mg
0.5000 0.5000 0.5000 Cd
0.1260 0.1260 0.1260 Ga
0.3988 0.3988 0.3988 Ga
0.6012 0.6012 0.6012 Ga
0.8740 0.8740 0.8740 Ga
```

CoTcAu2 | PBE | relaxed

Calculated values
symmetry = No. 8
energy above the most stable polymorph in this dataset = 186 meV per atom
magnetization = 0.3749 μB/atom
ΔH_f (0 K) = 0.345 eV per atom

Geometry as POSCAR:
```
CoTcAu2
1.0
4.6151 -1.3695 0.0000
4.6151 1.3695 0.0000
-0.8983 0.0000 4.8782
Co Tc Au
1 1 2
direct
0.0000 0.0000 0.0000 Co
0.7296 0.7296 0.2052 Tc
0.2510 0.2510 0.7345 Au
0.4877 0.4877 0.4672 Au
```

VCdSn2Os | PBE | relaxed

Calculated values
symmetry = No. 123
magnetization = 0.0912 μB/atom
ΔH_f (0 K) = 1.104 eV per atom

Geometry as POSCAR:
```
VCdSn2Os
1.0
5.0680 0.0000 0.0000
0.0000 5.0680 0.0000
0.0000 0.0000 5.2211
V Cd Sn Os
1 1 2 1
direct
0.0000 0.0000 0.0000 V
0.5000 0.5000 0.0000 Cd
0.0000 0.5000 0.5000 Sn
0.5000 0.0000 0.5000 Sn
0.5000 0.5000 0.5000 Os
```

Pu3P2N | PBE | relaxed

Calculated values
symmetry = No. 15
raw formation energy = -1.070 eV per atom
magnetization = 2.4808 μB/atom

Geometry as POSCAR:
```
Pu3P2N
1.0
3.3413 -5.7768 0.0000
3.3413 5.7768 0.0000
-2.1430 0.0000 6.2037
Pu P N
6 4 2
direct
0.0000 0.5000 0.5000 Pu
0.1402 0.2884 0.0077 Pu
0.2884 0.1402 0.5077 Pu
0.5000 0.0000 0.0000 Pu
0.7116 0.8598 0.4923 Pu
0.8598 0.7116 0.9923 Pu
0.2580 0.7420 0.2500 P
0.4176 0.5824 0.7500 P
0.5824 0.4176 0.2500 P
0.7420 0.2580 0.7500 P
0.0808 0.9192 0.7500 N
0.9192 0.0808 0.2500 N
```

LaZnCd | PBE | relaxed

Calculated values
symmetry = No. 107
magnetization = 0.0000 μB/atom
ΔH_f (0 K) = -0.207 eV per atom

Geometry as POSCAR:
```
LaZnCd
1.0
-1.7451 1.7451 6.0654
1.7451 -1.7451 6.0654
1.7451 1.7451 -6.0654
La Zn Cd
1 1 1
direct
0.0000 0.0000 0.0000 La
0.3288 0.3288 0.0000 Zn
0.6995 0.6995 0.0000 Cd
```

Mg2IrRu | PBE | relaxed

Calculated values
symmetry = No. 12
magnetization = 0.0116 μB/atom
ΔH_f (0 K) = -0.060 eV per atom

Geometry as POSCAR:
```
Mg2IrRu
1.0
4.4036 -1.4128 0.0000
4.4036 1.4128 0.0000
-0.8452 0.0000 4.9700
Mg Ir Ru
2 1 1
direct
0.2485 0.2485 0.2495 Mg
0.7515 0.7515 0.7505 Mg
0.5000 0.5000 0.0000 Ir
0.0000 0.0000 0.5000 Ru
```